The following is a GGA+U calculation of crystalline TeMoI2F at its relaxed geometry, from Alexandria.

Cell lengths 6.0288, 6.0288, 4.2276 Å; angles 90.00, 90.00, 90.00 degrees
Closest atoms and distances in Å follow each position.
Element x y z (fractional)
I 0.0000 0.5000 0.0000  2 F 3.01
I 0.5000 0.0000 0.0000  2 F 3.01
Mo 0.5000 0.5000 0.5000  8 I 3.68
Te 0.0000 0.0000 0.5000  2 F 2.11
F 0.0000 0.0000 0.0000  2 Te 2.11

## Properties
The total moment comes out at 0.781 μB/atom. The calculation puts the relative energy among the computed polymorphs at 14 meV/atom. The calculation puts the density of states at the Fermi level at 0.915 states/eV/atom.